InSiHg2 | PBE | relaxed

Density of states at the Fermi level ... 1.99 states/eV per cell
Size of the total moment ... 0.00 μB per atom
Mass density ... 9.570 Mg/m³
ΔE_f (raw) ... 0.32 eV per atom

Unit cell a=3.421 b=3.421 c=8.066 alpha=90.00 beta=90.00 gamma=90.00
Space group P4mm (No. 99)
Unique sites:
1 In 0.000 0.000 0.000 [1 per cell]
2 Si 0.500 0.500 0.219 [1 per cell]
3 Hg 0.000 0.000 0.430 [1 per cell]
4 Hg 0.500 0.500 0.714 [1 per cell]